# Tb2CePuBi4

A relaxed structure of Tb2CePuBi4 (PBE-GGA, the Alexandria database).

Cell and atoms, written as extended XYZ:
```
8
Lattice="7.846 0.000 0.000 0.000 4.537 0.000 -2.621 0.000 7.404" Properties=species:S:1:pos:R:3 pbc="T T T"
Tb 0.000 0.000 0.000
Tb 3.923 2.268 0.000
Ce -1.311 2.268 3.702
Pu 2.612 0.000 3.702
Bi 1.313 2.268 1.829
Bi -0.001 0.000 5.582
Bi 5.226 0.000 1.822
Bi 3.912 2.268 5.575
```

Properties
- calculated total energy (eV/atom) = -6.35
- crystal system = monoclinic
- space group = P2/m (10)

# CePuBiTe

A relaxed structure of CePuBiTe (PBE-GGA, the Alexandria database).

Cell and atoms, written as extended XYZ:
```
4
Lattice="0.000 3.873 3.873 3.873 0.000 3.873 3.873 3.873 0.000" Properties=species:S:1:pos:R:3 pbc="T T T"
Ce 0.000 0.000 0.000
Pu 3.873 3.873 3.873
Bi 1.936 1.936 1.936
Te 5.809 5.809 5.809
```

Properties
- calculated total energy (eV/atom) = -7.62
- crystal system = cubic
- space group = F-43m (216)

# CePuBiTe

A relaxed structure of CePuBiTe (PBE-GGA, the Alexandria database).

Cell and atoms, written as extended XYZ:
```
4
Lattice="2.258 1.304 7.419 -2.258 1.304 7.419 0.000 -2.607 7.419" Properties=species:S:1:pos:R:3 pbc="T T T"
Ce 0.000 0.000 0.000
Pu 0.000 0.000 11.072
Bi 0.000 0.000 5.519
Te 0.000 0.000 16.709
```

Properties
- calculated total energy (eV/atom) = -7.72
- crystal system = trigonal
- space group = R3m (160)

# CePuTh2Bi4

A relaxed structure of CePuTh2Bi4 (PBE-GGA, the Alexandria database).

Cell and atoms, written as extended XYZ:
```
8
Lattice="7.937 0.000 0.000 0.000 4.589 0.000 -2.654 0.000 7.525" Properties=species:S:1:pos:R:3 pbc="T T T"
Ce 0.000 0.000 0.000
Pu 3.969 2.295 0.000
Th -1.327 2.295 3.763
Th 2.642 0.000 3.763
Bi 1.327 2.295 1.871
Bi 0.001 0.000 5.661
Bi 5.282 0.000 1.865
Bi 3.956 2.295 5.655
```

Properties
- calculated total energy (eV/atom) = -6.93
- crystal system = monoclinic
- space group = P2/m (10)

# CePuTlBi

A relaxed structure of CePuTlBi (PBE-GGA, the Alexandria database).

Cell and atoms, written as extended XYZ:
```
4
Lattice="0.000 3.892 3.892 3.892 0.000 3.892 3.892 3.892 0.000" Properties=species:S:1:pos:R:3 pbc="T T T"
Ce 0.000 0.000 0.000
Pu 3.892 3.892 3.892
Tl 1.946 1.946 1.946
Bi 5.838 5.838 5.838
```

Properties
- calculated total energy (eV/atom) = -6.86
- crystal system = cubic
- space group = F-43m (216)

# CeTm2PuBi4

A relaxed structure of CeTm2PuBi4 (PBE-GGA, the Alexandria database).

Cell and atoms, written as extended XYZ:
```
8
Lattice="7.792 0.000 0.000 0.000 4.510 0.000 -2.607 0.000 7.352" Properties=species:S:1:pos:R:3 pbc="T T T"
Ce 0.000 0.000 0.000
Tm 2.593 0.000 3.676
Tm 3.896 2.255 0.000
Pu -1.303 2.255 3.676
Bi 0.048 0.000 5.527
Bi 1.354 2.255 1.862
Bi 3.831 2.255 5.490
Bi 5.138 0.000 1.825
```

Properties
- calculated total energy (eV/atom) = -6.27
- crystal system = monoclinic
- space group = P2/m (10)

# CePuZnBi

A relaxed structure of CePuZnBi (PBE-GGA, the Alexandria database).

Cell and atoms, written as extended XYZ:
```
4
Lattice="0.000 3.797 3.797 3.797 0.000 3.797 3.797 3.797 0.000" Properties=species:S:1:pos:R:3 pbc="T T T"
Ce 0.000 0.000 0.000
Pu 3.797 3.797 3.797
Zn 1.898 1.898 1.898
Bi 5.695 5.695 5.695
```

Properties
- calculated total energy (eV/atom) = -6.60
- crystal system = cubic
- space group = F-43m (216)

# Rb3CeBi2S6

A relaxed structure of Rb3CeBi2S6 (PBE-GGA, the Alexandria database).

Cell and atoms, written as extended XYZ:
```
12
Lattice="3.657 -6.334 0.000 3.657 6.334 0.000 -2.435 0.000 7.693" Properties=species:S:1:pos:R:3 pbc="T T T"
Rb 0.000 0.000 0.000
Rb 3.657 2.134 0.000
Rb 3.657 -2.134 0.000
Ce 2.440 0.000 3.846
Bi 2.440 4.225 3.846
Bi 2.440 -4.225 3.846
S 1.221 2.110 2.319
S 0.003 0.000 5.378
S 1.221 -2.110 2.319
S 3.658 2.110 5.374
S 4.876 0.000 2.314
S 3.658 -2.110 5.374
```

Properties
- calculated total energy (eV/atom) = -4.55
- crystal system = monoclinic
- space group = C2/m (12)

# Rb4Ce3BiS8

A relaxed structure of Rb4Ce3BiS8 (PBE-GGA, the Alexandria database).

Cell and atoms, written as extended XYZ:
```
16
Lattice="4.243 2.450 7.673 -4.243 2.450 7.673 0.000 -4.900 7.673" Properties=species:S:1:pos:R:3 pbc="T T T"
Rb 0.000 0.000 0.000
Rb -2.122 -1.225 7.673
Rb -2.122 1.225 15.345
Rb 0.000 2.450 7.673
Ce -4.243 0.000 11.509
Ce -2.122 1.225 3.836
Ce 2.122 1.225 3.836
Bi 0.000 0.000 11.509
S -2.127 -1.228 13.021
S 0.000 0.000 5.336
S 0.000 -2.456 9.997
S -2.127 1.228 9.997
S 2.127 -1.228 13.021
S 0.000 2.456 13.021
S 0.000 0.000 17.682
S 2.127 1.228 9.997
```

Properties
- calculated total energy (eV/atom) = -5.18
- crystal system = trigonal
- space group = R-3m (166)

# Rb3CeBi2Se6

A relaxed structure of Rb3CeBi2Se6 (PBE-GGA, the Alexandria database).

Cell and atoms, written as extended XYZ:
```
12
Lattice="3.798 -6.577 0.000 3.798 6.577 0.000 -2.530 0.000 8.009" Properties=species:S:1:pos:R:3 pbc="T T T"
Rb 0.000 0.000 0.000
Rb 3.798 2.212 0.000
Rb 3.798 -2.212 0.000
Ce 2.533 0.000 4.005
Bi 2.533 4.387 4.005
Bi 2.533 -4.387 4.005
Se 1.264 2.197 2.394
Se -0.005 0.000 5.620
Se 1.264 -2.197 2.394
Se 3.801 2.197 5.616
Se 5.070 0.000 2.390
Se 3.801 -2.197 5.616
```

Properties
- calculated total energy (eV/atom) = -4.21
- crystal system = monoclinic
- space group = C2/m (12)

# Rb3CeBi3Se8

A relaxed structure of Rb3CeBi3Se8 (PBE-GGA, the Alexandria database).

Cell and atoms, written as extended XYZ:
```
15
Lattice="4.291 2.478 8.207 -4.291 2.478 8.207 0.000 -4.955 8.207" Properties=species:S:1:pos:R:3 pbc="T T T"
Rb -2.146 -1.239 8.207
Rb -2.146 1.239 16.415
Rb 0.000 2.478 8.207
Ce 0.000 0.000 12.311
Bi -4.291 0.000 12.311
Bi -2.146 1.239 4.104
Bi 2.146 1.239 4.104
Se 0.000 0.000 5.765
Se -2.089 -1.206 13.908
Se 0.000 -2.412 10.714
Se -2.089 1.206 10.714
Se 2.089 -1.206 13.908
Se 0.000 2.412 13.908
Se 2.089 1.206 10.714
Se 0.000 0.000 18.857
```

Properties
- calculated total energy (eV/atom) = -4.19
- crystal system = trigonal
- space group = R-3m (166)

# Rb2Ce2BiSe6

A relaxed structure of Rb2Ce2BiSe6 (PBE-GGA, the Alexandria database).

Cell and atoms, written as extended XYZ:
```
11
Lattice="3.727 -6.455 0.000 3.727 6.455 0.000 -2.412 0.000 8.158" Properties=species:S:1:pos:R:3 pbc="T T T"
Rb 3.727 4.332 0.000
Rb 3.727 -4.332 0.000
Ce 2.521 2.144 4.079
Ce 2.521 -2.144 4.079
Bi -1.206 0.000 4.079
Se 0.054 2.193 5.658
Se 1.310 0.000 2.487
Se 0.054 -2.193 5.658
Se 4.989 2.193 2.500
Se 3.732 0.000 5.671
Se 4.989 -2.193 2.500
```

Properties
- calculated total energy (eV/atom) = -4.88
- crystal system = monoclinic
- space group = C2/m (12)

The highest calculated total energy belongs to which entry? Rb3CeBi3Se8